Record 1
PuMg2Au4 | Alexandria | PBE-GGA | relaxed; calculated density = 12.6 g/cm³; magnetization = 5.7 μB per cell; space group = Immm, No. 71; DFT formation energy = -494.6 meV per atom; VASP energy = -34.1 eV/cell
1.0
-1.5926 2.3423 9.5107
1.5926 -2.3423 9.5107
1.5926 2.3423 -9.5107
Pu Mg Au
1 2 4
Direct
0.0000 0.0000 0.0000
0.3046 0.8046 0.5000
0.6954 0.1954 0.5000
0.1604 0.6604 0.5000
0.4261 0.4261 0.0000
0.5739 0.5739 0.0000
0.8396 0.3396 0.5000

---

Record 2
CeTh2Ge2 | Alexandria | PBE-GGA | relaxed; calculated density = 9.5 g/cm³; E above lowest polymorph = 0.0000 eV per atom; magnetization = 1.1 μB per cell; space group = P4/mbm, No. 127; DFT formation energy = -667.9 meV per atom; VASP energy = -66.7 eV/cell
1.0
7.9194 0.0000 0.0000
0.0000 7.9194 0.0000
0.0000 0.0000 4.1667
Ce Th Ge
2 4 4
Direct
0.0000 0.0000 0.0000
0.5000 0.5000 0.0000
0.1784 0.3216 0.5000
0.3216 0.8216 0.5000
0.6784 0.1784 0.5000
0.8216 0.6784 0.5000
0.1208 0.6208 0.0000
0.3792 0.1208 0.0000
0.6208 0.8792 0.0000
0.8792 0.3792 0.0000

---

Record 3
InPb2 | Alexandria | PBE-GGA | relaxed; calculated density = 9.5 g/cm³; magnetization = 0.0 μB per cell; space group = I4/mcm, No. 140; DFT formation energy = 72.0 meV per atom; VASP energy = -19.9 eV/cell
1.0
-3.8341 3.8341 3.1491
3.8341 -3.8341 3.1491
3.8341 3.8341 -3.1491
In Pb
2 4
Direct
0.2500 0.2500 0.0000
0.7500 0.7500 0.0000
0.1532 0.6532 0.8064
0.3468 0.1532 0.5000
0.6532 0.8468 0.5000
0.8468 0.3468 0.1936

---

Record 4
BaSnCl6 | Alexandria | PBE-GGA | relaxed; calculated density = 3.1 g/cm³; E above lowest polymorph = 0.0000 eV per atom; magnetization = 0.0 μB per cell; space group = P-1, No. 2; VASP energy = -29.0 eV/cell; raw formation energy = -1.50 eV per atom
1.0
6.8315 0.0000 0.0000
-3.4122 5.9219 0.0000
-3.4133 -1.9681 6.2984
Ba Sn Cl
1 1 6
Direct
0.0000 0.0000 0.0000
0.0000 0.5000 0.5000
0.1662 0.4694 0.2743
0.1949 0.3031 0.7255
0.4220 0.8912 0.7256
0.5780 0.1088 0.2744
0.8051 0.6969 0.2745
0.8338 0.5306 0.7257

---

Record 5
Li4B7ClO12 | Alexandria | PBE-GGA | relaxed; calculated density = 2.4 g/cm³; magnetization = 0.0 μB per cell; space group = R3c, No. 161; VASP energy = -345.9 eV/cell; raw formation energy = -2.38 eV per atom
1.0
4.3414 2.5065 7.0719
-4.3414 2.5065 7.0719
0.0000 -5.0130 7.0719
Li B Cl O
8 14 2 24
Direct
0.0000 0.0000 0.0000
0.0958 0.6662 0.6676
0.1662 0.5959 0.1676
0.1676 0.1662 0.5959
0.5000 0.5000 0.5000
0.5958 0.1676 0.1662
0.6662 0.6676 0.0959
0.6676 0.0959 0.6662
0.2327 0.2327 0.2327
0.2396 0.8288 0.2407
0.2407 0.2396 0.8288
0.3288 0.7396 0.7407
0.3816 0.8845 0.3919
0.3845 0.8816 0.8919
0.3919 0.3816 0.8845
0.7327 0.7327 0.7327
0.7396 0.7407 0.3288
0.7407 0.3288 0.7396
0.8288 0.2407 0.2396
0.8816 0.8919 0.3845
0.8845 0.3919 0.3816
0.8919 0.3845 0.8816
0.3811 0.3811 0.3811
0.8811 0.8811 0.8811
0.0694 0.2476 0.3854
0.0731 0.8430 0.2399
0.0788 0.3942 0.8274
0.2399 0.0731 0.8430
0.2476 0.3854 0.0694
0.2479 0.8178 0.4008
0.3178 0.7479 0.9008
0.3274 0.8942 0.5788
0.3430 0.5731 0.7399
0.3854 0.0694 0.2476
0.3942 0.8274 0.0788
0.4008 0.2479 0.8178
0.5694 0.8854 0.7476
0.5731 0.7399 0.3430
0.5788 0.3274 0.8942
0.7399 0.3430 0.5731
0.7476 0.5694 0.8854
0.7479 0.9008 0.3178
0.8178 0.4008 0.2479
0.8274 0.0788 0.3942
0.8430 0.2399 0.0731
0.8854 0.7476 0.5694
0.8942 0.5788 0.3274
0.9008 0.3178 0.7479

---

Record 6
TbCeBiTe | Alexandria | PBE-GGA | relaxed; calculated density = 8.2 g/cm³; E above lowest polymorph = 0.0000 eV per atom; magnetization = 1.2 μB per cell; space group = R3m, No. 160; VASP energy = -22.0 eV/cell; raw formation energy = -1.11 eV per atom
1.0
2.2446 1.2959 7.3614
-2.2446 1.2959 7.3614
0.0000 -2.5918 7.3614
Tb Ce Bi Te
1 1 1 1
Direct
0.0000 0.0000 0.0000
0.5008 0.5008 0.5008
0.7478 0.7478 0.7478
0.2535 0.2535 0.2535

---

Record 7
LaMgTc4 | Alexandria | PBE-GGA | relaxed; calculated density = 8.3 g/cm³; magnetization = 0.0 μB per cell; space group = F-43m, No. 216; DFT formation energy = 190.4 meV per atom; VASP energy = -46.8 eV/cell
1.0
0.0000 3.8162 3.8162
3.8162 0.0000 3.8162
3.8162 3.8162 0.0000
La Mg Tc
1 1 4
Direct
0.0000 0.0000 0.0000
0.7500 0.7500 0.7500
0.3756 0.3756 0.3756
0.3756 0.3756 0.8732
0.3756 0.8732 0.3756
0.8732 0.3756 0.3756

---

Record 8
CoRh3Se | Alexandria | PBE-GGA | relaxed; calculated density = 8.2 g/cm³; E above lowest polymorph = 0.2057 eV per atom; magnetization = 4.3 μB per cell; space group = Pm-3m, No. 221; VASP energy = -27.4 eV/cell; raw formation energy = 1.05 eV per atom
1.0
4.4930 0.0000 0.0000
0.0000 4.4930 0.0000
0.0000 0.0000 4.4930
Co Rh Se
1 3 1
Direct
0.0000 0.0000 0.0000
0.0000 0.0000 0.5000
0.0000 0.5000 0.0000
0.5000 0.0000 0.0000
0.5000 0.5000 0.5000

---

> Number 4 is which compound?

BaSnCl6

---

> What is the formula in the third record?

InPb2

---

> Which value of calculated density does entry 8 give?

8.2 g/cm³